DFT (PBE) results for crystalline CoTcOs2 at its relaxed geometry.

Geometry as POSCAR:
```
CoTcOs2
1.0
-1.894 1.894 3.761
1.894 -1.894 3.761
1.894 1.894 -3.761
Co Tc Os
1 1 2
Cartesian
0.000 0.000 0.000
0.000 1.894 1.881
1.894 0.000 1.881
0.000 0.000 3.761
```

Formation enthalpy at 0 K in eV per atom: 0.103
Polymorph energy (0 for the lowest one) in kJ/mol of atoms: 0.2
VASP energy in eV for the cell shown: -39.52